{
  "formula": "KMnF4",
  "functional": "GGA+U",
  "state": "relaxed",
  "density_g_cm3": 3.1,
  "dft_energy_ev_per_cell": -128.303,
  "lattice_angstrom": [[7.819, 0.000, 0.000], [0.000, 5.909, 0.004], [0.000, 0.092, 7.859]],
  "species": ["K", "K", "K", "K", "Mn", "Mn", "Mn", "Mn", "F", "F", "F", "F", "F", "F", "F", "F", "F", "F", "F", "F", "F", "F", "F", "F"],
  "frac_coords": [[0.307, 0.493, 0.254], [0.807, 0.507, 0.246], [0.693, 0.507, 0.746], [0.193, 0.493, 0.754], [0.000, 0.000, 0.500], [0.500, 0.000, 0.000], [0.500, 0.000, 0.500], [0.000, 0.000, 0.000], [0.924, 0.290, 0.946], [0.442, 0.710, 0.934], [0.058, 0.710, 0.434], [0.558, 0.290, 0.066], [0.231, 0.116, 0.997], [0.731, 0.884, 0.503], [0.769, 0.884, 0.003], [0.269, 0.116, 0.497], [0.019, 0.903, 0.733], [0.576, 0.290, 0.446], [0.981, 0.097, 0.267], [0.481, 0.903, 0.233], [0.519, 0.097, 0.767], [0.424, 0.710, 0.554], [0.076, 0.710, 0.054], [0.942, 0.290, 0.566]]
}